Entry 1:
DFT (PBE) results for a relaxed structure of Tb4Pm3Sm2.

```
Tb4Pm3Sm2
1.0
-0.596 -3.276 1.416
2.090 2.377 1.754
-21.474 9.437 12.794
Sm Tb Pm
2 4 3
Cartesian
-18.354 6.806 12.643
-1.645 -0.537 2.688
-9.075 2.728 7.114
-4.392 0.670 4.324
-16.354 7.187 9.744
-11.638 5.114 6.934
-21.107 9.276 12.575
-6.974 3.065 4.155
-13.696 4.759 9.868
```

Calculated values
Energy relative to the elements = 0.059 eV per atom
Final energy = -4.631 eV per atom
Crystal system = trigonal

Entry 2:
DFT (PBE) results for a relaxed structure of Tb6PmSm12.

```
Tb6PmSm12
1.0
8.570 0.695 0.833
-0.612 8.576 0.833
-0.612 -0.713 8.587
Sm Pm Tb
12 1 6
Cartesian
1.272 3.712 5.430
3.476 5.018 2.761
-0.207 1.460 3.270
6.074 4.846 4.822
5.871 5.344 9.652
3.869 3.540 7.492
7.553 7.098 6.982
1.474 3.215 0.600
4.433 1.966 4.622
2.913 6.592 5.630
4.392 8.315 8.232
2.954 0.243 2.021
0.000 0.000 0.000
7.102 2.700 7.362
0.243 5.858 2.891
5.606 8.045 3.972
1.592 5.916 8.625
5.754 2.643 1.627
1.740 0.513 6.281
```

Calculated values
Energy relative to the elements = 0.141 eV per atom
Final energy = -4.552 eV per atom
Crystal system = trigonal

In kJ/mol of formula units, the polymorph energy (0 for the lowest one) values for the records above are, in order, 40 0.